Record 1
A relaxed YTi3Cu crystal. Source: the Alexandria database, functional GGA-PBE.

The structure belongs to space group Pm-3m (No. 221); the cell edges are 4.8036, 4.8036 and 4.8036 Å and the angles 90.00°, 90.00° and 90.00°. The asymmetric unit holds Y at (0.0000, 0.0000, 0.0000), Ti at (0.0000, 0.0000, 0.5000) and Cu at (0.5000, 0.5000, 0.5000).

For the energy relative to the elements, the calculation gives 1693 meV/atom.

***

Record 2
A relaxed Dy8As3Se4 crystal. Source: the Alexandria database, functional GGA-PBE.

The structure belongs to space group C2/m (No. 12); the cell edges are 11.4753, 11.4998 and 8.1205 Å and the angles 90.00°, 134.84° and 90.00°. The asymmetric unit holds Dy at (0.0000, 0.2461, 0.0000), Dy at (0.0000, 0.2486, 0.5000), Dy at (0.2432, 0.0000, 0.4945), Dy at (0.2472, 0.0000, 0.0009), As at (0.0000, 0.0000, 0.0000), As at (0.2500, 0.2500, 0.5000), Se at (0.0000, 0.5000, 0.0000), Se at (0.0000, 0.5000, 0.5000) and Se at (0.2500, 0.2500, 0.0000).

The value obtained for the raw formation energy is -1567 meV/atom.

***

Record 3
A relaxed Ce2NiAs4Rh3 crystal. Source: the Alexandria database, functional GGA-PBE.

The structure belongs to space group P-4m2 (No. 115); the cell edges are 4.3270, 4.3270 and 9.6697 Å and the angles 90.00°, 90.00° and 90.00°. The asymmetric unit holds Ce at (0.0000, 0.5000, 0.2481), Ni at (0.5000, 0.5000, 0.0000), As at (0.0000, 0.0000, 0.5000), As at (0.0000, 0.5000, 0.8723), As at (0.5000, 0.5000, 0.5000), Rh at (0.0000, 0.0000, 0.0000) and Rh at (0.0000, 0.5000, 0.6208).

For the energy relative to the elements, the calculation gives -880 meV/atom.

***

Record 4
A relaxed SmMg2Cu crystal. Source: the Alexandria database, functional GGA-PBE.

The structure belongs to space group F-43m (No. 216); the cell edges are 7.0120, 7.0120 and 7.0120 Å and the angles 90.00°, 90.00° and 90.00°. The asymmetric unit holds Sm at (0.0000, 0.0000, 0.0000), Mg at (0.0000, 0.0000, 0.5000), Mg at (0.2500, 0.2500, 0.7500) and Cu at (0.2500, 0.2500, 0.2500).

For the energy relative to the elements, the calculation gives -98 meV/atom.

***

Record 5
A relaxed Ac2LaPm2Nd crystal. Source: the Alexandria database, functional GGA-PBE.

The structure belongs to space group Pmma (No. 51); the cell edges are 7.4349, 5.9976 and 10.3318 Å and the angles 90.00°, 90.00° and 90.00°. The asymmetric unit holds Ac at (0.0000, 0.0000, 0.0000), Ac at (0.2500, 0.5000, 0.1700), La at (0.0000, 0.5000, 0.5000), Pm at (0.2500, 0.0000, 0.3426), Pm at (0.2500, 0.5000, 0.8252) and Nd at (0.2500, 0.0000, 0.6657).

For the energy relative to the elements, the calculation gives 64 meV/atom.

***

Record 6
A relaxed MoAsSe crystal. Source: the Alexandria database, functional GGA-PBE.

The structure belongs to space group P2_1/c (No. 14); the cell edges are 7.1301, 6.4282 and 5.7639 Å and the angles 90.00°, 103.50° and 90.00°. The asymmetric unit holds Mo at (0.0063, 0.1527, 0.2929), As at (0.2602, 0.6261, 0.9827) and Se at (0.2446, 0.1067, 0.0045).

The value obtained for the raw formation energy is -243 meV/atom.

***

Record 7
A relaxed TlSbPF crystal. Source: the Alexandria database, functional GGA-PBE.

The structure belongs to space group Cm (No. 8); the cell edges are 11.6963, 3.6672 and 4.9058 Å and the angles 90.00°, 95.04° and 90.00°. The asymmetric unit holds Tl at (0.0000, 0.0000, 0.0000), Sb at (0.2507, 0.0000, 0.5406), P at (0.1013, 0.5000, 0.5183) and F at (0.2721, 0.0000, 0.1227).

The value obtained for the raw formation energy is -710 meV/atom.

***

Record 8
A relaxed CeDy2Sn crystal. Source: the Alexandria database, functional GGA-PBE.

The structure belongs to space group R-3m (No. 166, hexagonal axes); the cell edges are 3.4734, 3.4734 and 35.5604 Å and the angles 90.00°, 90.00° and 120.00°. The asymmetric unit holds Ce at (0.0000, 0.0000, 0.0000), Dy at (0.0000, 0.0000, 0.4122) and Sn at (0.0000, 0.0000, 0.5000).

For the energy relative to the elements, the calculation gives 65 meV/atom.